The following is a DFT calculation (PBE-GGA) of an optimized crystal structure of CaTlHgF6.

abc: 6.145 6.145 9.365
angles: 90.00 90.00 120.00
Positions (direct):
F 0.340 0.328 0.873
F 0.660 0.672 0.127
F 0.672 0.012 0.873
F 0.672 0.660 0.627
F 0.012 0.672 0.373
F 0.012 0.340 0.127
F 0.328 0.340 0.373
F 0.988 0.660 0.873
F 0.340 0.012 0.627
F 0.988 0.328 0.627
F 0.660 0.988 0.373
F 0.328 0.988 0.127
Tl 0.667 0.333 0.250
Tl 0.333 0.667 0.750
Ca 0.667 0.333 0.750
Ca 0.333 0.667 0.250
Hg 0.000 0.000 0.000
Hg 0.000 0.000 0.500

Summary:
**Space group**: P-31c (163)
**ΔE_f (raw)**: -2295.5 meV per atom

The following is a DFT calculation (PBE-GGA) of an optimized crystal structure of MnHg2Sb.

abc: 5.224 4.293 4.291
angles: 87.14 90.00 90.00
Positions (direct):
Hg 0.000 0.487 0.487
Hg 0.000 0.013 0.013
Sb 0.500 0.750 0.750
Mn 0.500 0.250 0.250

Summary:
**Space group**: Cmmm (65)
**ΔE_f (raw)**: 237.8 meV per atom

The following is a DFT calculation (PBE-GGA) of an optimized crystal structure of SiIr.

abc: 6.682 6.682 3.634
angles: 90.00 90.00 90.00
Positions (direct):
Ir 0.655 0.655 0.000
Ir 0.845 0.155 0.500
Ir 0.345 0.345 0.000
Ir 0.155 0.845 0.500
Si 0.195 0.195 0.500
Si 0.805 0.805 0.500
Si 0.305 0.695 0.000
Si 0.695 0.305 0.000

Summary:
**Space group**: P4_2/mnm (136)
**ΔE_f (raw)**: -84.4 meV per atom

The following is a DFT calculation (PBE-GGA) of an optimized crystal structure of Ag5GeSe6.

abc: 6.862 6.916 6.783
angles: 59.35 79.36 68.77
Positions (direct):
Se 0.795 0.736 0.000
Se 0.743 0.373 0.685
Se 0.257 0.627 0.315
Se 0.743 0.058 0.315
Se 0.257 0.942 0.685
Se 0.205 0.264 0.000
Ge 0.000 0.000 0.000
Ag 0.500 0.846 0.309
Ag 0.000 0.326 0.349
Ag 0.500 0.500 0.000
Ag 0.500 0.154 0.691
Ag 0.000 0.674 0.651

Summary:
**Space group**: C2/m (12)
**ΔE_f (raw)**: -67.9 meV per atom

The following is a DFT calculation (PBE-GGA) of an optimized crystal structure of Al2PbBr.

abc: 5.525 5.525 3.345
angles: 90.00 90.00 90.00
Positions (direct):
Br 0.500 0.000 0.500
Al 0.500 0.500 0.000
Al 0.000 0.000 0.000
Pb 0.000 0.500 0.500

Summary:
**Excess energy over the best structure of this formula in the dataset**: 0.253 eV/atom
**Space group**: P4/mmm (123)
**ΔE_f (raw)**: 170.4 meV per atom

The following is a DFT calculation (PBE-GGA) of an optimized crystal structure of KPr2Lu.

abc: 3.655 3.655 13.615
angles: 82.29 82.29 60.00
Positions (direct):
Pr 0.903 0.903 0.290
Pr 0.097 0.097 0.710
Lu 0.500 0.500 0.500
K 0.000 0.000 0.000

Summary:
**VASP energy**: -3.604 eV per atom
**Space group**: R-3m (166)

The following is a DFT calculation (PBE-GGA) of an optimized crystal structure of Ho2MgGa3Rh4.

abc: 4.157 4.157 10.577
angles: 90.00 90.00 90.00
Positions (direct):
Ho 0.500 0.000 0.233
Ho 0.000 0.500 0.767
Rh 0.500 0.500 0.000
Rh 0.500 0.000 0.645
Rh 0.000 0.500 0.355
Rh 0.000 0.000 0.000
Ga 0.000 0.500 0.125
Ga 0.000 0.000 0.500
Ga 0.500 0.000 0.875
Mg 0.500 0.500 0.500

Summary:
**VASP energy**: -5.682 eV per atom
**Space group**: P-4m2 (115)

The following is a DFT calculation (PBE-GGA) of an optimized crystal structure of NaPr2Sc.

abc: 3.704 5.854 5.854
angles: 90.00 90.00 90.00
Positions (direct):
Na 0.500 0.500 0.500
Pr 0.000 0.500 0.000
Pr 0.000 0.000 0.500
Sc 0.500 0.000 0.000

Summary:
**Excess energy over the best structure of this formula in the dataset**: 0.070 eV/atom
**Space group**: P4/mmm (123)

The following is a DFT calculation (PBE-GGA) of an optimized crystal structure of Li3ClO.

abc: 6.184 6.184 6.184
angles: 51.64 51.64 51.64
Positions (direct):
Cl 0.625 0.625 0.625
Cl 0.375 0.375 0.375
Li 0.166 0.550 0.968
Li 0.450 0.032 0.834
Li 0.550 0.968 0.166
Li 0.834 0.450 0.032
Li 0.032 0.834 0.450
Li 0.968 0.166 0.550
O 0.840 0.840 0.840
O 0.160 0.160 0.160

Summary:
**Excess energy over the best structure of this formula in the dataset**: 0.013 eV/atom
**Space group**: R-3 (148)
**ΔE_f (raw)**: -1809.6 meV per atom

The following is a DFT calculation (PBE-GGA) of an optimized crystal structure of HfSbRhO6.

abc: 5.317 5.317 8.676
angles: 90.00 90.00 120.00
Positions (direct):
O 0.665 0.657 0.127
O 0.335 0.992 0.627
O 0.992 0.335 0.127
O 0.665 0.008 0.373
O 0.343 0.008 0.127
O 0.343 0.335 0.373
O 0.008 0.665 0.873
O 0.008 0.343 0.627
O 0.992 0.657 0.373
O 0.657 0.665 0.627
O 0.335 0.343 0.873
O 0.657 0.992 0.873
Sb 0.333 0.667 0.750
Sb 0.667 0.333 0.250
Hf 0.667 0.333 0.750
Hf 0.333 0.667 0.250
Rh 0.000 0.000 0.000
Rh 0.000 0.000 0.500

Summary:
**Space group**: P-31c (163)
**ΔE_f (raw)**: -1728.5 meV per atom

The following is a DFT calculation (PBE-GGA) of an optimized crystal structure of LaPr2DyHo.

abc: 6.553 8.668 6.358
angles: 98.36 90.00 90.00
Positions (direct):
Dy 0.443 0.000 0.750
Dy 0.557 0.000 0.250
Pr 0.311 0.688 0.298
Pr 0.311 0.312 0.202
Pr 0.689 0.312 0.702
Pr 0.689 0.688 0.798
Ho 0.166 0.500 0.750
Ho 0.834 0.500 0.250
La 0.000 0.000 0.500
La 0.000 0.000 0.000

Summary:
**VASP energy**: -4.461 eV per atom
**Space group**: P2/c (13)

The following is a DFT calculation (PBE-GGA) of an optimized crystal structure of ReHg2Rh.

abc: 4.928 4.928 5.196
angles: 80.64 80.64 34.10
Positions (direct):
Re 0.000 0.000 0.500
Rh 0.500 0.500 0.000
Hg 0.751 0.751 0.248
Hg 0.249 0.249 0.752

Summary:
**Excess energy over the best structure of this formula in the dataset**: 0.381 eV/atom
**Space group**: C2/m (12)

Please write out number 8 again, unchanged.
The following is a DFT calculation (PBE-GGA) of an optimized crystal structure of NaPr2Sc.

abc: 3.704 5.854 5.854
angles: 90.00 90.00 90.00
Positions (direct):
Na 0.500 0.500 0.500
Pr 0.000 0.500 0.000
Pr 0.000 0.000 0.500
Sc 0.500 0.000 0.000

Summary:
**Excess energy over the best structure of this formula in the dataset**: 0.070 eV/atom
**Space group**: P4/mmm (123)